Arrangement i

TiMoSeN2 | Alexandria via LeMat-Bulk | GGA-PBE | relaxed; calculated density = 5.3 Mg/m³; SG = P4/mmm, No. 123; M_tot = 2.8 Bohr magnetons per cell
1.0
3.895 0.000 0.000
0.000 3.895 0.000
0.000 0.000 5.158
Ti Mo Se N
1 1 1 2
Cartesian
0.000 0.000 0.000
1.948 1.948 2.579
0.000 0.000 2.579
0.000 1.948 0.000
1.948 0.000 0.000

=====

Arrangement ii

TiMoSeN2 | Alexandria via LeMat-Bulk | GGA-PBE | relaxed; calculated density = 5.3 Mg/m³; SG = P4/mmm, No. 123; M_tot = 0.0 Bohr magnetons per cell
1.0
3.886 0.000 0.000
0.000 3.886 0.000
0.000 0.000 5.182
Ti Mo Se N
1 1 1 2
Cartesian
0.000 0.000 0.000
1.943 1.943 2.591
1.943 1.943 0.000
0.000 1.943 2.591
1.943 0.000 2.591

=====

Name the most stable of them. arrangement ii.

=====

Arrangement i

TlMoSe2N | Alexandria via LeMat-Bulk | GGA-PBE | relaxed; calculated density = 6.3 Mg/m³; SG = P4/mmm, No. 123; M_tot = 5.4 Bohr magnetons per cell
1.0
5.474 0.000 0.000
0.000 5.474 0.000
0.000 0.000 4.145
Tl Mo Se N
1 1 2 1
Cartesian
0.000 0.000 0.000
2.737 2.737 2.073
0.000 2.737 0.000
2.737 0.000 0.000
0.000 0.000 2.073

=====

Arrangement ii

TlMoSe2N | Alexandria via LeMat-Bulk | GGA-PBE | relaxed; calculated density = 7.5 Mg/m³; SG = P4/mmm, No. 123; M_tot = 0.0 Bohr magnetons per cell
1.0
5.207 0.000 0.000
0.000 5.207 0.000
0.000 0.000 3.842
Tl Mo Se N
1 1 2 1
Cartesian
0.000 0.000 0.000
2.603 2.603 1.921
0.000 2.603 1.921
2.603 0.000 1.921
2.603 2.603 0.000

=====

Name the most stable of them. arrangement ii.